An optimized crystal structure of VMoRh. Source: Alexandria via LeMat-Bulk, functional PBE.

Structure (extended XYZ):
```
6
Lattice="-0.306 1.045 2.900 -2.006 -2.280 0.609 6.921 -5.377 2.666" Properties=species:S:1:pos:R:3 pbc="T T T"
V 2.580 -2.418 4.028
V -1.587 -1.504 1.607
Mo 4.959 -4.267 4.946
Mo 2.954 -5.032 3.355
Rh 0.199 -0.569 3.113
Rh 0.794 -3.353 2.522
```

Output
Symmetry = No. 129
Density = 9.4 g/cm³
Formation enthalpy at 0 K = -0.68 eV/f.u.
Spin magnetization = 0.0000 μB per atom

---

An optimized crystal structure of V2MoRh. Source: Alexandria via LeMat-Bulk, functional PBE.

Structure (extended XYZ):
```
4
Lattice="3.096 0.000 0.000 0.000 4.277 0.000 0.000 0.000 4.277" Properties=species:S:1:pos:R:3 pbc="T T T"
Mo 1.548 0.000 0.000
Rh 1.548 2.138 2.138
V 0.000 0.000 2.138
V 0.000 2.138 0.000
```

Output
Symmetry = No. 123
Density = 8.8 g/cm³
Formation enthalpy at 0 K = -0.93 eV/f.u.
Spin magnetization = 0.0000 μB per atom

---

An optimized crystal structure of V4Mo3Rh. Source: Alexandria via LeMat-Bulk, functional PBE.

Structure (extended XYZ):
```
8
Lattice="-0.630 -0.678 2.914 -2.062 -3.605 -1.285 7.388 -4.430 0.568" Properties=species:S:1:pos:R:3 pbc="T T T"
Mo 1.492 -1.422 1.596
Mo 2.348 -4.356 1.098
Mo 5.266 -3.685 1.886
Rh -1.346 -2.141 0.814
V 3.694 -2.215 0.284
V 4.489 -5.111 -0.218
V 0.000 0.000 0.000
V 0.838 -2.923 -0.499
```

Output
Symmetry = No. 47
Density = 8.6 g/cm³
Formation enthalpy at 0 K = -1.66 eV/f.u.
Spin magnetization = 0.0000 μB per atom

---

An optimized crystal structure of V5Mo4Rh. Source: Alexandria via LeMat-Bulk, functional PBE.

Structure (extended XYZ):
```
10
Lattice="-1.505 -0.470 -2.633 0.315 -3.032 0.361 -13.250 -0.462 7.657" Properties=species:S:1:pos:R:3 pbc="T T T"
V -1.955 -1.798 -0.350
V -4.551 -1.889 1.150
V -7.220 -1.982 2.692
V -9.890 -2.075 4.235
V -12.486 -2.166 5.735
Mo -2.620 -0.091 1.514
Mo -5.297 -0.185 3.061
Mo -7.953 -0.277 4.596
Mo -10.630 -0.371 6.143
Rh 0.000 0.000 0.000
```

Output
Symmetry = No. 123
Density = 8.5 g/cm³
Formation enthalpy at 0 K = -1.75 eV/f.u.
Spin magnetization = 0.0000 μB per atom

---

Repeat the fourth record exactly.
An optimized crystal structure of V5Mo4Rh. Source: Alexandria via LeMat-Bulk, functional PBE.

Structure (extended XYZ):
```
10
Lattice="-1.505 -0.470 -2.633 0.315 -3.032 0.361 -13.250 -0.462 7.657" Properties=species:S:1:pos:R:3 pbc="T T T"
V -1.955 -1.798 -0.350
V -4.551 -1.889 1.150
V -7.220 -1.982 2.692
V -9.890 -2.075 4.235
V -12.486 -2.166 5.735
Mo -2.620 -0.091 1.514
Mo -5.297 -0.185 3.061
Mo -7.953 -0.277 4.596
Mo -10.630 -0.371 6.143
Rh 0.000 0.000 0.000
```

Output
Symmetry = No. 123
Density = 8.5 g/cm³
Formation enthalpy at 0 K = -1.75 eV/f.u.
Spin magnetization = 0.0000 μB per atom

---

What is the formula in the fourth record? V5Mo4Rh

---

Among the records above, which one has the highest density? VMoRh